TlB2H: optimized geometry, PBE.

POSCAR file:
```
TlB2H
1.0
3.196 0.000 0.000
0.000 3.196 0.000
0.000 0.000 22.492
Tl B H
4 8 4
direct
0.000 0.250 0.375 Tl
0.000 0.750 0.625 Tl
0.500 0.250 0.125 Tl
0.500 0.750 0.875 Tl
0.000 0.000 0.000 B
0.000 0.500 0.000 B
0.250 0.250 0.750 B
0.250 0.750 0.250 B
0.500 0.000 0.500 B
0.500 0.500 0.500 B
0.750 0.250 0.750 B
0.750 0.750 0.250 B
0.000 0.250 0.875 H
0.000 0.750 0.125 H
0.500 0.250 0.625 H
0.500 0.750 0.375 H
```

Properties
VASP energy in eV/atom: -3.8569
Total moment in μB/f.u.: 0.000
Fermi-level density of states in states/eV/atom: 0.40